<1>
Below is a geometry-optimized Ce3Tl2Sn structure, with properties calculated at the PBE level. Values from VASP.

Cell and atoms, written as Quantum ESPRESSO input:
```
&SYSTEM
  ibrav = 0, nat = 6, ntyp = 3
/
ATOMIC_SPECIES
Ce 140.12 Ce.upf
Tl 204.38 Tl.upf
Sn 118.71 Sn.upf
ATOMIC_POSITIONS angstrom
Ce 0.000 0.000 0.000
Ce 0.000 3.177 4.229
Ce 2.751 1.588 2.476
Tl 0.000 3.177 0.915
Tl 2.751 1.588 5.790
Sn 0.000 0.000 3.352
CELL_PARAMETERS angstrom
5.502 0.000 0.000
-2.751 4.765 0.000
0.000 0.000 6.705
```

Output
space group: P-3m1 (164)

---

<2>
Below is a geometry-optimized Ce3Tl2Sn structure, with properties calculated at the PBE level. Values from VASP.

Cell and atoms, written as Quantum ESPRESSO input:
```
&SYSTEM
  ibrav = 0, nat = 6, ntyp = 3
/
ATOMIC_SPECIES
Ce 140.12 Ce.upf
Tl 204.38 Tl.upf
Sn 118.71 Sn.upf
ATOMIC_POSITIONS angstrom
Ce 0.000 0.000 0.000
Ce 0.000 0.000 3.453
Ce 0.000 0.000 6.435
Tl 2.083 2.083 1.699
Tl 2.083 2.083 8.189
Sn 2.083 2.083 4.944
CELL_PARAMETERS angstrom
4.166 0.000 0.000
0.000 4.166 0.000
0.000 0.000 9.888
```

Output
space group: P4/mmm (123)

---

On energetic grounds, <2> is preferred over the next structure by 2.4 kJ/mol of atoms.